Entry from Alexandria: a relaxed structure of Ba2CaAl (PBEsol).

The space group is P4/mmm (No. 123) and the conventional cell measures 4.129, 4.129 and 9.691 Å, with angles of 90.00, 90.00 and 90.00 degrees. The distinct sites, in fractional coordinates, are Ba at (0.000, 0.000, 0.195), Ca at (0.500, 0.500, 0.500) and Al at (0.500, 0.500, 0.000).

The value obtained for the volume is 41.3 Å³/atom. The calculation puts the formation energy at -34 meV/atom. The value obtained for the raw total energy is -2.66 eV/atom.